1.
Below is BaTl2Co after structural relaxation, with properties calculated at the PBE-GGA level.

electronic total energy = -3.318 eV/atom

a = 7.9663 Å, b = 4.5875 Å, c = 6.9327 Å
α = 90.00°, β = 112.37°, γ = 90.00°
Space group C2/m (No. 12)
Asymmetric unit:
Ba1 0.0000 0.0000 0.0000 [2 per cell]
Tl1 0.2118 0.0000 0.6360 [4 per cell]
Co1 0.0000 0.5000 0.5000 [2 per cell]

2.
Below is PrHoThN3 after structural relaxation, with properties calculated at the PBE-GGA level.

formation energy (no corrections) = -1.432 eV per atom

a = 6.1628 Å, b = 3.6003 Å, c = 9.2361 Å
α = 90.00°, β = 101.82°, γ = 90.00°
Space group P2_1/m (No. 11)
Asymmetric unit:
Pr1 0.1540 0.2500 0.1915 [2 per cell]
Ho1 0.3550 0.2500 0.8652 [2 per cell]
Th1 0.2657 0.7500 0.5481 [2 per cell]
N1 0.0493 0.2500 0.6622 [2 per cell]
N2 0.2613 0.7500 0.9936 [2 per cell]
N3 0.4595 0.7500 0.3452 [2 per cell]

3.
Below is SmWC2 after structural relaxation, with properties calculated at the PBE-GGA level.

electronic total energy = -9.024 eV/atom

a = 5.4926 Å, b = 3.4518 Å, c = 13.2703 Å
α = 90.00°, β = 90.00°, γ = 90.00°
Space group Pnma (No. 62)
Asymmetric unit:
Sm1 0.2392 0.2500 0.0742 [4 per cell]
W1 0.2183 0.7500 0.3294 [4 per cell]
C1 0.1296 0.2500 0.6949 [4 per cell]
C2 0.2488 0.7500 0.9162 [4 per cell]

4.
Below is Li3La2MnNi12 after structural relaxation, with properties calculated at the PBE-GGA level.

electronic total energy = -5.067 eV/atom

a = 5.9875 Å, b = 5.9875 Å, c = 25.6584 Å
α = 90.00°, β = 90.00°, γ = 120.00°
Space group R-3m (No. 166, hexagonal axes)
Asymmetric unit:
Li1 0.0000 0.5000 0.0000 [9 per cell]
La1 0.0000 0.0000 0.1529 [6 per cell]
Mn1 0.0000 0.0000 0.5000 [3 per cell]
Ni1 0.0548 0.5274 0.0954 [18 per cell]
Ni2 0.0722 0.5361 0.6160 [18 per cell]